A plane-wave DFT calculation with GGA-PBE was carried out for crystalline CdIn2Co at its relaxed geometry.

ΔE_f (eV per atom): 0.27
Uncorrected energy (eV per atom): -3.10
N(E_F) (states/eV per cell): 2.70

a = 5.2895 Å, b = 5.2895 Å, c = 5.0562 Å
α = 109.41°, β = 109.41°, γ = 37.22°
With the nearest neighbours (Å) after each atom.
Atoms (fractional coordinates):
Cd 0.0000 0.0000 0.0000  6 In 3.01-3.17, 4 Co 3.04
In 0.2178 0.2178 0.7142  2 Co 2.67, 2 In 2.99
In 0.7822 0.7822 0.2858  2 Co 2.67, 2 In 2.99
Co 0.5000 0.5000 0.5000  4 In 2.67